Rb2NbTl3S6 after structural relaxation. Source: Alexandria via LeMat-Bulk, functional PBE-GGA.

## Properties
Crystal system: monoclinic

POSCAR file:
```
Rb2NbTl3S6
1.0
3.839 -7.150 0.000
3.839 7.150 0.000
-2.477 0.000 6.489
Rb Nb Tl S
2 1 3 6
direct
0.177 0.823 0.000 Rb
0.823 0.177 0.000 Rb
0.500 0.500 0.000 Nb
0.000 0.000 0.500 Tl
0.370 0.630 0.500 Tl
0.630 0.370 0.500 Tl
0.178 0.424 0.775 S
0.289 0.289 0.207 S
0.424 0.178 0.775 S
0.576 0.822 0.225 S
0.711 0.711 0.793 S
0.822 0.576 0.225 S
```



RbNbTl2S4 after structural relaxation. Source: Alexandria via LeMat-Bulk, functional PBE-GGA.

## Properties
Crystal system: orthorhombic

POSCAR file:
```
RbNbTl2S4
1.0
9.020 0.000 0.000
0.000 9.642 0.000
0.000 0.000 6.467
Rb Nb Tl S
2 2 4 8
direct
0.000 0.101 0.000 Rb
0.500 0.899 0.500 Rb
0.000 0.778 0.411 Nb
0.500 0.222 0.911 Nb
0.205 0.345 0.532 Tl
0.295 0.655 0.032 Tl
0.705 0.655 0.032 Tl
0.795 0.345 0.532 Tl
0.000 0.006 0.500 S
0.000 0.766 0.054 S
0.218 0.668 0.507 S
0.282 0.332 0.007 S
0.500 0.234 0.554 S
0.500 0.994 0.000 S
0.718 0.332 0.007 S
0.782 0.668 0.507 S
```



Going through the records in order, we get energy relative to the elements, uncorrected values of -663 -831 meV per atom.
Going through the records in order, we get E_tot values of -4.319 -4.866 eV per atom.